Compound: ThTaV4
Source: Alexandria
Functional: PBE
Structure: optimized geometry

extended XYZ file:
```
6
Lattice="0.000 3.698 3.698 3.698 0.000 3.698 3.698 3.698 0.000" Properties=species:S:1:pos:R:3 pbc="T T T"
Th 0.000 0.000 0.000
Ta 5.546 5.546 5.546
V 2.776 2.776 2.776
V 4.620 4.620 2.776
V 4.620 2.776 4.620
V 2.776 4.620 4.620
```

Output
- calculated volume (A^3/atom) = 16.9
- density of states at the Fermi level (states/eV/atom) = 1.555
- crystal system = cubic
- formation energy from the elements (meV per atom) = 132